Entry from Alexandria: a relaxed Ca2Y2Tc crystal (PBE).

Results
The theoretical density comes out at 3.57 g/cm³. Its spin magnetization is 4.78 μB per cell. The calculation puts the density of states at the Fermi level at 8.66 states/eV/f.u. As for the calculated volume: 33.1 A^3/atom. The calculated formation energy comes out at 4.82 eV/f.u.

a b c (Å): 4.2276 4.2276 18.5470
angles (deg): 90.00 90.00 90.00
Space group I4/mmm (No. 139)
Symmetry-distinct sites (fractional):
Ca: 0.0000 0.0000 0.0856 x4
Y: 0.0000 0.5000 0.2500 x4
Tc: 0.0000 0.0000 0.5000 x2

---

Entry from Alexandria: a relaxed CsYAsO2 crystal (PBE).

Results
The theoretical density comes out at 5.09 g/cm³. Its spin magnetization is 0.46 μB per cell. The calculation puts the density of states at the Fermi level at 3.44 states/eV/f.u. As for the calculated volume: 21.4 A^3/atom. The formation energy (no corrections) is 1.99 eV/f.u.

a b c (Å): 4.3726 4.3726 5.6051
angles (deg): 90.00 90.00 90.00
Space group P4/mmm (No. 123)
Symmetry-distinct sites (fractional):
Cs: 0.0000 0.0000 0.0000 x1
Y: 0.5000 0.5000 0.0000 x1
As: 0.0000 0.0000 0.5000 x1
O: 0.0000 0.5000 0.5000 x2

---

Entry from Alexandria: a relaxed NaYNi2 crystal (PBE).

Results
The theoretical density comes out at 5.09 g/cm³. Its spin magnetization is 0.00 μB per cell. The calculation puts the density of states at the Fermi level at 0.99 states/eV/f.u. As for the calculated volume: 18.7 A^3/atom. The calculated formation energy comes out at 1.36 eV/f.u.

a b c (Å): 7.2581 7.2581 5.6793
angles (deg): 90.00 90.00 90.00
Space group I-42d (No. 122)
Symmetry-distinct sites (fractional):
Na: 0.0000 0.0000 0.0000 x4
Y: 0.0000 0.0000 0.5000 x4
Ni: 0.2493 0.2500 0.6250 x8

---

Entry from Alexandria: a relaxed ErMn2W crystal (PBE).

Results
The theoretical density comes out at 11.16 g/cm³. Its spin magnetization is 11.18 μB per cell. The calculation puts the density of states at the Fermi level at 4.48 states/eV/f.u. As for the calculated volume: 17.2 A^3/atom. The calculated formation energy comes out at 2.17 eV/f.u.

a b c (Å): 3.0737 3.0737 25.1553
angles (deg): 90.00 90.00 120.00
Space group R-3m (No. 166, hexagonal axes)
Symmetry-distinct sites (fractional):
Er: 0.0000 0.0000 0.0000 x3
Mn: 0.0000 0.0000 0.2386 x6
W: 0.0000 0.0000 0.5000 x3

---

Entry from Alexandria: a relaxed SmSn4Pd2 crystal (PBE).

Results
The theoretical density comes out at 8.65 g/cm³. Its spin magnetization is 0.00 μB per cell. The calculation puts the density of states at the Fermi level at 2.84 states/eV/f.u. As for the calculated volume: 23.0 A^3/atom. The calculated formation energy comes out at -3.98 eV/f.u.

a b c (Å): 19.0718 4.5265 7.4557
angles (deg): 90.00 90.00 90.00
Space group Pnma (No. 62)
Symmetry-distinct sites (fractional):
Sm: 0.1421 0.2500 0.0184 x4
Sn: 0.0333 0.7500 0.8644 x4
Sn: 0.0660 0.2500 0.4883 x4
Sn: 0.1807 0.7500 0.3170 x4
Sn: 0.1947 0.7500 0.7404 x4
Pd: 0.0372 0.7500 0.2379 x4
Pd: 0.2140 0.2500 0.5379 x4

---

Entry from Alexandria: a relaxed KMnCl2 crystal (PBE).

Results
The theoretical density comes out at 2.24 g/cm³. Its spin magnetization is 9.83 μB per cell. The calculation puts the density of states at the Fermi level at 3.26 states/eV/f.u. As for the calculated volume: 30.6 A^3/atom. The formation energy (no corrections) is -2.70 eV/f.u.

a b c (Å): 4.0634 4.0634 14.8142
angles (deg): 90.00 90.00 90.00
Space group I-4m2 (No. 119)
Symmetry-distinct sites (fractional):
K: 0.0000 0.0000 0.0000 x2
Mn: 0.0000 0.5000 0.7500 x2
Cl: 0.0000 0.0000 0.5000 x2
Cl: 0.0000 0.5000 0.2500 x2

---

Entry from Alexandria: a relaxed Ba2EuIn crystal (PBE).

Results
The theoretical density comes out at 4.48 g/cm³. Its spin magnetization is 24.32 μB per cell. The calculation puts the density of states at the Fermi level at 12.11 states/eV/f.u. As for the calculated volume: 50.1 A^3/atom. The calculated formation energy comes out at 0.84 eV/f.u.

a b c (Å): 4.0659 4.0659 42.0280
angles (deg): 90.00 90.00 120.00
Space group R-3m (No. 166, hexagonal axes)
Symmetry-distinct sites (fractional):
Ba: 0.0000 0.0000 0.0852 x6
Eu: 0.0000 0.0000 0.5000 x3
In: 0.0000 0.0000 0.0000 x3

---

Entry from Alexandria: a relaxed GaHgF2 crystal (PBE).

Results
The theoretical density comes out at 7.85 g/cm³. Its spin magnetization is 0.00 μB per cell. The calculation puts the density of states at the Fermi level at 3.97 states/eV/f.u. As for the calculated volume: 16.3 A^3/atom. The formation energy (no corrections) is -4.10 eV/f.u.

a b c (Å): 6.3906 6.3906 6.3906
angles (deg): 90.00 90.00 90.00
Space group Fm-3m (No. 225)
Symmetry-distinct sites (fractional):
Ga: 0.0000 0.0000 0.0000 x4
Hg: 0.0000 0.0000 0.5000 x4
F: 0.2500 0.2500 0.2500 x8

---

Entry from Alexandria: a relaxed KNi2Mo2 crystal (PBE).

Results
The theoretical density comes out at 5.61 g/cm³. Its spin magnetization is 0.00 μB per cell. The calculation puts the density of states at the Fermi level at 7.12 states/eV/f.u. As for the calculated volume: 20.6 A^3/atom. The calculated formation energy comes out at 3.65 eV/f.u.

a b c (Å): 3.7951 3.7951 14.3261
angles (deg): 90.00 90.00 90.00
Space group I4/mmm (No. 139)
Symmetry-distinct sites (fractional):
K: 0.0000 0.0000 0.0000 x2
Ni: 0.0000 0.0000 0.3643 x4
Mo: 0.0000 0.5000 0.2500 x4

---

Entry from Alexandria: a relaxed HfNb2HPt crystal (PBE).

Results
The theoretical density comes out at 12.40 g/cm³. Its spin magnetization is 0.00 μB per cell. The calculation puts the density of states at the Fermi level at 3.43 states/eV/f.u. As for the calculated volume: 15.0 A^3/atom. The value obtained for the total energy is -8.30 eV per atom.

a b c (Å): 4.0085 4.0085 4.6721
angles (deg): 90.00 90.00 90.00
Space group P4/mmm (No. 123)
Symmetry-distinct sites (fractional):
Hf: 0.0000 0.0000 0.0000 x1
Nb: 0.0000 0.5000 0.5000 x2
H: 0.0000 0.0000 0.5000 x1
Pt: 0.5000 0.5000 0.0000 x1

---

Entry from Alexandria: a relaxed Ba3NdHo3Te8 crystal (PBE).

Results
The theoretical density comes out at 6.15 g/cm³. Its spin magnetization is 0.00 μB per cell. The calculation puts the density of states at the Fermi level at 4.26 states/eV/f.u. As for the calculated volume: 37.3 A^3/atom. The formation energy (no corrections) is -22.95 eV/f.u.

a b c (Å): 9.0109 9.0109 23.8686
angles (deg): 90.00 90.00 120.00
Space group R-3m (No. 166, hexagonal axes)
Symmetry-distinct sites (fractional):
Ba: 0.0000 0.5000 0.0000 x9
Nd: 0.0000 0.0000 0.5000 x3
Ho: 0.0000 0.5000 0.5000 x9
Te: 0.0000 0.0000 0.2382 x6
Te: 0.0134 0.5067 0.7600 x18

---

Entry from Alexandria: a relaxed LaPr2Dy4Ho crystal (PBE).

Results
The theoretical density comes out at 7.71 g/cm³. Its spin magnetization is 0.00 μB per cell. The calculation puts the density of states at the Fermi level at 11.48 states/eV/f.u. As for the calculated volume: 33.3 A^3/atom. The calculated formation energy comes out at 0.19 eV/f.u.

a b c (Å): 5.1131 5.1447 10.1224
angles (deg): 90.00 90.00 90.00
Space group Pmmm (No. 47)
Symmetry-distinct sites (fractional):
La: 0.0000 0.0000 0.0000 x1
Pr: 0.0000 0.0000 0.5000 x1
Pr: 0.5000 0.5000 0.0000 x1
Dy: 0.0000 0.5000 0.2538 x2
Dy: 0.5000 0.0000 0.2537 x2
Ho: 0.5000 0.5000 0.5000 x1

---

Among the records above, which one has the highest calculated volume? Ba2EuIn

---

What did the sixth record say?
Entry from Alexandria: a relaxed KMnCl2 crystal (PBE).

Results
The theoretical density comes out at 2.24 g/cm³. Its spin magnetization is 9.83 μB per cell. The calculation puts the density of states at the Fermi level at 3.26 states/eV/f.u. As for the calculated volume: 30.6 A^3/atom. The formation energy (no corrections) is -2.70 eV/f.u.

a b c (Å): 4.0634 4.0634 14.8142
angles (deg): 90.00 90.00 90.00
Space group I-4m2 (No. 119)
Symmetry-distinct sites (fractional):
K: 0.0000 0.0000 0.0000 x2
Mn: 0.0000 0.5000 0.7500 x2
Cl: 0.0000 0.0000 0.5000 x2
Cl: 0.0000 0.5000 0.2500 x2

---

What did the eighth record say?
Entry from Alexandria: a relaxed GaHgF2 crystal (PBE).

Results
The theoretical density comes out at 7.85 g/cm³. Its spin magnetization is 0.00 μB per cell. The calculation puts the density of states at the Fermi level at 3.97 states/eV/f.u. As for the calculated volume: 16.3 A^3/atom. The formation energy (no corrections) is -4.10 eV/f.u.

a b c (Å): 6.3906 6.3906 6.3906
angles (deg): 90.00 90.00 90.00
Space group Fm-3m (No. 225)
Symmetry-distinct sites (fractional):
Ga: 0.0000 0.0000 0.0000 x4
Hg: 0.0000 0.0000 0.5000 x4
F: 0.2500 0.2500 0.2500 x8